VASP calculation (PBE) on an optimized crystal structure of LiErInSn.

a = 4.389 Å, b = 4.505 Å, c = 4.657 Å
α = 90.00°, β = 90.00°, γ = 90.00°
Fractional positions:
Li1 0.000 0.000 0.000
Er1 0.000 0.500 0.500
In1 0.500 0.500 0.000
Sn1 0.500 0.000 0.500

## Properties
Energy (eV/f.u.): -15.2
Offset from the most stable computed form (meV/atom): 0
Energy of formation (meV per atom): -485
Symmetry: Pmmm (47)

***

VASP calculation (PBE) on an optimized crystal structure of PrGdLuAl.

a = 5.399 Å, b = 5.399 Å, c = 5.399 Å
α = 60.00°, β = 60.00°, γ = 60.00°
Fractional positions:
Pr1 0.000 0.000 0.000
Gd1 0.500 0.500 0.500
Lu1 0.750 0.750 0.750
Al1 0.250 0.250 0.250

## Properties
Energy (eV/f.u.): -27.5
Energy of formation (meV per atom): -88
Symmetry: F-43m (216)

***

VASP calculation (PBE) on an optimized crystal structure of SrReSnBi2.

a = 5.473 Å, b = 5.473 Å, c = 5.268 Å
α = 90.00°, β = 90.00°, γ = 90.00°
Fractional positions:
Sr1 0.000 0.000 0.000
Re1 0.500 0.500 0.500
Sn1 0.500 0.500 0.000
Bi1 0.000 0.500 0.500
Bi2 0.500 0.000 0.500

## Properties
Energy (eV/f.u.): -24.3
Energy of formation (meV per atom): 329
Symmetry: P4/mmm (123)

***

VASP calculation (PBE) on an optimized crystal structure of PdPt2Pb2.

a = 7.284 Å, b = 7.284 Å, c = 3.905 Å
α = 90.00°, β = 90.00°, γ = 90.00°
Fractional positions:
Pd1 0.000 0.000 0.000
Pd2 0.500 0.500 0.000
Pt1 0.135 0.365 0.000
Pt2 0.365 0.865 0.000
Pt3 0.635 0.135 0.000
Pt4 0.865 0.635 0.000
Pb1 0.171 0.671 0.500
Pb2 0.329 0.171 0.500
Pb3 0.671 0.829 0.500
Pb4 0.829 0.329 0.500

## Properties
Energy (eV/f.u.): -25.0
Offset from the most stable computed form (meV/atom): 0
Energy of formation (meV per atom): -63
Symmetry: P4/mbm (127)

***

VASP calculation (PBE) on an optimized crystal structure of V3GaP.

a = 4.340 Å, b = 4.340 Å, c = 4.340 Å
α = 90.00°, β = 90.00°, γ = 90.00°
Fractional positions:
V1 0.000 0.000 0.500
V2 0.000 0.500 0.000
V3 0.500 0.000 0.000
Ga1 0.500 0.500 0.500
P1 0.000 0.000 0.000

## Properties
Energy (eV/f.u.): -35.1
Offset from the most stable computed form (meV/atom): 347
Energy of formation (meV per atom): 144
Symmetry: Pm-3m (221)

***

VASP calculation (PBE) on an optimized crystal structure of Y3In7Pt4.

a = 8.663 Å, b = 8.663 Å, c = 10.373 Å
α = 123.98°, β = 123.98°, γ = 29.44°
Fractional positions:
Y1 0.000 0.000 0.000
Y2 0.304 0.304 0.292
Y3 0.696 0.696 0.708
In1 0.000 0.000 0.500
In2 0.164 0.164 0.429
In3 0.318 0.318 0.976
In4 0.491 0.491 0.707
In5 0.509 0.509 0.293
In6 0.682 0.682 0.024
In7 0.836 0.836 0.571
Pt1 0.117 0.117 0.831
Pt2 0.340 0.340 0.740
Pt3 0.660 0.660 0.260
Pt4 0.883 0.883 0.169

## Properties
Energy (eV/f.u.): -72.5
Energy of formation (meV per atom): -695
Symmetry: C2/m (12)

***

VASP calculation (PBE) on an optimized crystal structure of NaRe2AgO8.

a = 6.528 Å, b = 6.528 Å, c = 5.981 Å
α = 100.74°, β = 100.74°, γ = 62.29°
Fractional positions:
Na1 0.000 0.000 0.000
Re1 0.190 0.190 0.649
Re2 0.810 0.810 0.351
Ag1 0.500 0.500 0.500
O1 0.076 0.656 0.233
O2 0.132 0.132 0.353
O3 0.344 0.924 0.767
O4 0.352 0.352 0.704
O5 0.648 0.648 0.296
O6 0.656 0.076 0.233
O7 0.868 0.868 0.647
O8 0.924 0.344 0.767

## Properties
ΔE_f (raw) (meV/atom): -1498
Energy (eV/f.u.): -86.7
Symmetry: C2/m (12)

***

VASP calculation (PBE) on an optimized crystal structure of AcBiAsPt.

a = 5.253 Å, b = 5.253 Å, c = 5.253 Å
α = 60.00°, β = 60.00°, γ = 60.00°
Fractional positions:
Ac1 0.000 0.000 0.000
Bi1 0.500 0.500 0.500
As1 0.750 0.750 0.750
Pt1 0.250 0.250 0.250

## Properties
Energy (eV/f.u.): -20.9
Energy of formation (meV per atom): -552
Symmetry: F-43m (216)

***

VASP calculation (PBE) on an optimized crystal structure of Be2IrCl.

a = 6.095 Å, b = 6.095 Å, c = 6.095 Å
α = 129.71°, β = 129.71°, γ = 73.87°
Fractional positions:
Be1 0.112 0.625 0.987
Be2 0.375 0.362 0.487
Be3 0.638 0.125 0.013
Be4 0.875 0.888 0.513
Ir1 0.000 0.000 0.000
Ir2 0.750 0.250 0.500
Cl1 0.250 0.750 0.500
Cl2 0.500 0.500 0.000

## Properties
ΔE_f (raw) (meV/atom): 149
Energy (eV/f.u.): -17.6
Offset from the most stable computed form (meV/atom): 550
Symmetry: I-42d (122)

***

VASP calculation (PBE) on an optimized crystal structure of TlHg3Pb12.

a = 4.879 Å, b = 4.879 Å, c = 20.239 Å
α = 90.00°, β = 90.00°, γ = 90.00°
Fractional positions:
Tl1 0.000 0.000 0.000
Hg1 0.000 0.000 0.252
Hg2 0.000 0.000 0.500
Hg3 0.000 0.000 0.748
Pb1 0.000 0.500 0.128
Pb2 0.000 0.500 0.376
Pb3 0.000 0.500 0.624
Pb4 0.000 0.500 0.872
Pb5 0.500 0.000 0.128
Pb6 0.500 0.000 0.376
Pb7 0.500 0.000 0.624
Pb8 0.500 0.000 0.872
Pb9 0.500 0.500 0.000
Pb10 0.500 0.500 0.252
Pb11 0.500 0.500 0.500
Pb12 0.500 0.500 0.748

## Properties
Energy (eV/f.u.): -47.7
Energy of formation (meV per atom): 7
Symmetry: P4/mmm (123)

***

VASP calculation (PBE) on an optimized crystal structure of HoTmNbN3.

a = 5.714 Å, b = 3.303 Å, c = 8.555 Å
α = 90.00°, β = 103.01°, γ = 90.00°
Fractional positions:
Ho1 0.153 0.250 0.188
Ho2 0.847 0.750 0.812
Tm1 0.270 0.750 0.548
Tm2 0.730 0.250 0.452
Nb1 0.364 0.250 0.866
Nb2 0.636 0.750 0.134
N1 0.057 0.250 0.678
N2 0.245 0.750 0.990
N3 0.454 0.750 0.332
N4 0.546 0.250 0.668
N5 0.755 0.250 0.010
N6 0.943 0.750 0.322

## Properties
ΔE_f (raw) (meV/atom): -1460
Energy (eV/f.u.): -52.9
Symmetry: P2_1/m (11)

***

VASP calculation (PBE) on an optimized crystal structure of V2Co3Ru3.

a = 4.697 Å, b = 4.697 Å, c = 4.697 Å
α = 89.20°, β = 89.20°, γ = 89.20°
Fractional positions:
V1 0.249 0.249 0.249
V2 0.751 0.751 0.751
Co1 0.000 0.238 0.762
Co2 0.238 0.762 0.000
Co3 0.762 0.000 0.238
Ru1 0.242 0.758 0.500
Ru2 0.500 0.242 0.758
Ru3 0.758 0.500 0.242

## Properties
Energy (eV/f.u.): -67.0
Energy of formation (meV per atom): 53
Symmetry: R32 (155)

***

VASP calculation (PBE) on an optimized crystal structure of KSb6O12.

a = 6.749 Å, b = 6.749 Å, c = 6.749 Å
α = 104.12°, β = 104.12°, γ = 104.12°
Fractional positions:
K1 0.000 0.000 0.000
Sb1 0.228 0.228 0.603
Sb2 0.228 0.603 0.228
Sb3 0.397 0.772 0.772
Sb4 0.603 0.228 0.228
Sb5 0.772 0.397 0.772
Sb6 0.772 0.772 0.397
O1 0.117 0.500 0.883
O2 0.117 0.883 0.500
O3 0.178 0.442 0.442
O4 0.442 0.178 0.442
O5 0.442 0.442 0.178
O6 0.500 0.117 0.883
O7 0.500 0.883 0.117
O8 0.558 0.558 0.822
O9 0.558 0.822 0.558
O10 0.822 0.558 0.558
O11 0.883 0.117 0.500
O12 0.883 0.500 0.117

## Properties
ΔE_f (raw) (meV/atom): -987
Energy (eV/f.u.): -104.1
Symmetry: R-3m (166)

***

VASP calculation (PBE) on an optimized crystal structure of Ac4La3.

a = 6.753 Å, b = 6.753 Å, c = 8.649 Å
α = 97.03°, β = 97.03°, γ = 47.99°
Fractional positions:
Ac1 0.070 0.070 0.224
Ac2 0.356 0.356 0.075
Ac3 0.644 0.644 0.925
Ac4 0.930 0.930 0.776
La1 0.217 0.217 0.637
La2 0.500 0.500 0.500
La3 0.783 0.783 0.363

## Properties
Energy (eV/f.u.): -31.1
Offset from the most stable computed form (meV/atom): 0
Energy of formation (meV per atom): 22
Symmetry: C2/m (12)

***

VASP calculation (PBE) on an optimized crystal structure of Ba5SnGe6.

a = 9.812 Å, b = 9.812 Å, c = 6.492 Å
α = 98.73°, β = 98.73°, γ = 133.11°
Fractional positions:
Ba1 0.000 0.000 0.000
Ba2 0.184 0.816 0.500
Ba3 0.389 0.611 0.000
Ba4 0.611 0.389 0.000
Ba5 0.816 0.184 0.500
Sn1 0.500 0.500 0.500
Ge1 0.036 0.620 0.905
Ge2 0.174 0.174 0.606
Ge3 0.380 0.964 0.095
Ge4 0.620 0.036 0.905
Ge5 0.826 0.826 0.394
Ge6 0.964 0.380 0.095

## Properties
Energy (eV/f.u.): -47.0
Energy of formation (meV per atom): -472
Symmetry: C2/m (12)

***

VASP calculation (PBE) on an optimized crystal structure of K3Tm3TaS8.

a = 8.752 Å, b = 8.752 Å, c = 8.752 Å
α = 52.55°, β = 52.55°, γ = 52.55°
Fractional positions:
K1 0.000 0.500 0.500
K2 0.500 0.000 0.500
K3 0.500 0.500 0.000
Tm1 0.000 0.000 0.500
Tm2 0.000 0.500 0.000
Tm3 0.500 0.000 0.000
Ta1 0.500 0.500 0.500
S1 0.233 0.233 0.233
S2 0.251 0.719 0.719
S3 0.281 0.281 0.749
S4 0.281 0.749 0.281
S5 0.719 0.251 0.719
S6 0.719 0.719 0.251
S7 0.749 0.281 0.281
S8 0.767 0.767 0.767

## Properties
ΔE_f (raw) (meV/atom): -1670
Energy (eV/f.u.): -86.6
Symmetry: R-3m (166)

***

VASP calculation (PBE) on an optimized crystal structure of Ho6Ge2Te3As.

a = 9.530 Å, b = 9.530 Å, c = 8.558 Å
α = 104.08°, β = 104.08°, γ = 25.55°
Fractional positions:
Ho1 0.008 0.008 0.235
Ho2 0.327 0.327 0.434
Ho3 0.339 0.339 0.898
Ho4 0.661 0.661 0.102
Ho5 0.673 0.673 0.566
Ho6 0.992 0.992 0.765
Ge1 0.166 0.166 0.332
Ge2 0.834 0.834 0.668
Te1 0.165 0.165 0.834
Te2 0.500 0.500 0.500
Te3 0.835 0.835 0.166
As1 0.500 0.500 0.000

## Properties
ΔE_f (raw) (meV/atom): -1290
Energy (eV/f.u.): -66.3
Symmetry: C2/m (12)

***

VASP calculation (PBE) on an optimized crystal structure of AcPrCuPt.

a = 5.253 Å, b = 5.253 Å, c = 5.253 Å
α = 60.00°, β = 60.00°, γ = 60.00°
Fractional positions:
Ac1 0.000 0.000 0.000
Pr1 0.500 0.500 0.500
Cu1 0.250 0.250 0.250
Pt1 0.750 0.750 0.750

## Properties
Energy (eV/f.u.): -21.2
Offset from the most stable computed form (meV/atom): 85
Energy of formation (meV per atom): -555
Symmetry: F-43m (216)

***

VASP calculation (PBE) on an optimized crystal structure of Cu2Si2Ni3.

a = 3.909 Å, b = 3.909 Å, c = 6.614 Å
α = 107.13°, β = 107.13°, γ = 59.90°
Fractional positions:
Cu1 0.134 0.134 0.402
Cu2 0.866 0.866 0.598
Si1 0.402 0.402 0.205
Si2 0.598 0.598 0.795
Ni1 0.000 0.000 0.000
Ni2 0.271 0.271 0.812
Ni3 0.729 0.729 0.188

## Properties
ΔE_f (raw) (meV/atom): -316
Energy (eV/f.u.): -38.6
Symmetry: C2/m (12)

***

VASP calculation (PBE) on an optimized crystal structure of Ca2TlBr.

a = 6.046 Å, b = 6.046 Å, c = 6.046 Å
α = 139.33°, β = 113.96°, γ = 80.53°
Fractional positions:
Ca1 0.226 0.226 0.000
Ca2 0.774 0.774 0.000
Tl1 0.500 0.000 0.500
Br1 0.000 0.500 0.500

## Properties
ΔE_f (raw) (meV/atom): -692
Energy (eV/f.u.): -10.8
Offset from the most stable computed form (meV/atom): 229
Symmetry: Immm (71)